[1]
Computed, not measured: a relaxed NaDy2MnO5 crystal at the PBE with a Hubbard U level of DFT.

* VASP energy: -132.28 eV/cell
* spin magnetization: 8.0 Bohr magnetons per cell
* calculated density: 6.7 Mg/m³

Structure (CIF):
```
data_NaDy2MnO5
_space_group_name_H-M_alt 'P 4/m b m'
_space_group_IT_number 127
_space_group_name_Hall '-P 4 2ab'
_cell_length_a 6.469
_cell_length_b 6.469
_cell_length_c 5.707
_cell_angle_alpha 90.00
_cell_angle_beta 90.00
_cell_angle_gamma 90.00
loop_
_atom_site_label
_atom_site_fract_x
_atom_site_fract_y
_atom_site_fract_z
Na1 0.000 0.000 0.000
Dy1 0.178 0.322 0.500
Mn1 0.000 0.500 0.000
O1 0.000 0.000 0.500
O2 0.138 0.638 0.245
```



[2]
Computed, not measured: a relaxed HgMoPO2 crystal at the PBE with a Hubbard U level of DFT.

* VASP energy: -26.02 eV/cell
* energy relative to the lowest polymorph listed for this composition: 0 meV/atom
* spin magnetization: 0.9 Bohr magnetons per cell
* calculated density: 7.4 Mg/m³

Structure (CIF):
```
data_HgMoPO2
_space_group_name_H-M_alt 'P 4/m m m'
_space_group_IT_number 123
_space_group_name_Hall '-P 4 2'
_cell_length_a 3.875
_cell_length_b 3.875
_cell_length_c 5.370
_cell_angle_alpha 90.00
_cell_angle_beta 90.00
_cell_angle_gamma 90.00
loop_
_atom_site_label
_atom_site_fract_x
_atom_site_fract_y
_atom_site_fract_z
Hg1 0.000 0.000 0.000
Mo1 0.500 0.500 0.500
P1 0.500 0.500 0.000
O1 0.000 0.500 0.500
```